(1)
The following is a DFT calculation (GGA-PBE) of an optimized crystal structure of BaY3Pt.

Structure (POSCAR):
```
BaY3Pt
1.0
5.492 0.000 0.000
0.000 5.492 0.000
0.000 0.000 5.492
Ba Y Pt
1 3 1
Cartesian
0.000 0.000 0.000 Ba
0.000 0.000 2.746 Y
0.000 2.746 0.000 Y
2.746 0.000 0.000 Y
2.746 2.746 2.746 Pt
```


(2)
The following is a DFT calculation (GGA-PBE) of an optimized crystal structure of Ba2YPt.

Structure (POSCAR):
```
Ba2YPt
1.0
5.504 0.000 0.000
0.000 15.707 0.000
0.000 0.000 4.482
Ba Y Pt
4 2 2
Cartesian
0.000 2.182 0.000 Ba
0.000 13.525 0.000 Ba
2.752 5.672 0.000 Ba
2.752 10.035 0.000 Ba
0.000 7.853 2.241 Y
2.752 0.000 2.241 Y
0.000 0.000 2.241 Pt
2.752 7.853 2.241 Pt
```


(3)
The following is a DFT calculation (GGA-PBE) of an optimized crystal structure of BaY2Pt2.

Structure (POSCAR):
```
BaY2Pt2
1.0
5.266 0.000 0.000
0.000 5.266 0.000
0.000 0.000 11.317
Ba Y Pt
2 4 4
Cartesian
0.000 0.000 0.000 Ba
2.633 2.633 5.659 Ba
0.000 0.000 3.797 Y
0.000 0.000 7.521 Y
2.633 2.633 1.862 Y
2.633 2.633 9.455 Y
0.000 2.633 2.829 Pt
0.000 2.633 8.488 Pt
2.633 0.000 2.829 Pt
2.633 0.000 8.488 Pt
```


(4)
The following is a DFT calculation (GGA-PBE) of an optimized crystal structure of BaYPt2.

Structure (POSCAR):
```
BaYPt2
1.0
3.665 0.000 0.000
0.000 3.603 0.000
-0.017 0.000 7.569
Ba Y Pt
1 1 2
Cartesian
0.000 0.000 0.000 Ba
-0.009 0.000 3.785 Y
1.824 1.802 2.270 Pt
1.823 1.802 5.299 Pt
```


(5)
The following is a DFT calculation (GGA-PBE) of an optimized crystal structure of BaYPt2.

Structure (POSCAR):
```
BaYPt2
1.0
5.238 0.000 0.000
0.000 5.238 0.000
0.000 0.000 3.602
Ba Y Pt
1 1 2
Cartesian
0.000 0.000 0.000 Ba
2.619 2.619 0.000 Y
0.000 2.619 1.801 Pt
2.619 0.000 1.801 Pt
```


(6)
The following is a DFT calculation (GGA-PBE) of an optimized crystal structure of Ba2YPt.

Structure (POSCAR):
```
Ba2YPt
1.0
11.788 0.000 0.000
0.000 11.788 0.000
0.000 0.000 5.428
Ba Y Pt
8 4 4
Cartesian
1.194 2.947 0.679 Ba
2.947 7.088 2.036 Ba
2.947 10.593 4.750 Ba
4.700 2.947 3.393 Ba
7.088 8.841 3.393 Ba
8.841 1.194 4.750 Ba
8.841 4.700 2.036 Ba
10.593 8.841 0.679 Ba
0.000 0.000 2.714 Y
0.000 5.894 4.071 Y
5.894 0.000 1.357 Y
5.894 5.894 0.000 Y
0.000 0.000 0.000 Pt
0.000 5.894 1.357 Pt
5.894 0.000 4.071 Pt
5.894 5.894 2.714 Pt
```


(7)
The following is a DFT calculation (GGA-PBE) of an optimized crystal structure of Ba2YPt.

Structure (POSCAR):
```
Ba2YPt
1.0
4.786 0.000 0.000
0.000 4.786 0.000
0.000 0.000 11.550
Ba Y Pt
4 2 2
Cartesian
0.000 0.000 0.000 Ba
0.000 2.393 2.888 Ba
2.393 0.000 8.663 Ba
2.393 2.393 5.775 Ba
0.000 0.000 5.775 Y
2.393 2.393 0.000 Y
0.000 2.393 8.663 Pt
2.393 0.000 2.888 Pt
```


(8)
The following is a DFT calculation (GGA-PBE) of an optimized crystal structure of BaYPt2.

Structure (POSCAR):
```
BaYPt2
1.0
3.701 0.000 0.000
0.000 4.885 0.000
0.000 0.000 11.030
Ba Y Pt
2 2 4
Cartesian
0.000 0.000 0.000 Ba
1.850 2.442 5.515 Ba
0.000 2.442 2.279 Y
1.850 0.000 7.794 Y
0.000 0.000 5.295 Pt
0.000 2.442 8.546 Pt
1.850 0.000 3.031 Pt
1.850 2.442 10.810 Pt
```


no.,formation enthalpy at 0 K (meV/atom),energy above the most stable polymorph in this dataset (eV/atom)
1,1273,1.686
2,-387,0.056
3,-690,0.209
4,-955,0.000
5,-763,0.192
6,-251,0.193
7,74,0.517
8,-566,0.389